(1)
First-principles (PBE) data for crystalline Mg2Re2Pd at its relaxed geometry, as listed in Alexandria.

abc: 3.488 3.488 8.138
angles: 77.62 77.62 90.00
Atoms (fractional coordinates):
Pd  0.000  0.000  0.000
Re  0.250  0.750  0.500
Mg  0.404  0.404  0.192
Mg  0.596  0.596  0.808
Re  0.750  0.250  0.500

The value obtained for the final energy is -31.7 eV for the cell shown. For the energy relative to the lowest polymorph listed for this composition, the calculation gives 0 meV per atom.

***

(2)
First-principles (PBE) data for crystalline Y2MgRePd at its relaxed geometry, as listed in Alexandria.

abc: 5.336 4.582 5.336
angles: 90.00 90.00 90.00
Last column: magnetic moment on the atom in μB.
Atoms (fractional coordinates):
Re  0.000  0.500  0.000  0.94
Y  0.000  0.000  0.500  -0.04
Y  0.500  0.000  0.000  -0.03
Mg  0.000  0.000  0.000  -0.01
Pd  0.500  0.500  0.500  0.03

The value obtained for the final energy is -26.3 eV for the cell shown.

***

(3)
First-principles (PBE) data for crystalline Mg6PdRh5 at its relaxed geometry, as listed in Alexandria.

abc: 4.410 6.285 6.978
angles: 90.00 71.58 90.00
Atoms (fractional coordinates):
Rh  0.666  0.500  0.669
Mg  0.168  0.252  0.663
Mg  0.500  0.253  0.000
Pd  0.000  0.000  0.000
Mg  0.832  0.748  0.337
Mg  0.500  0.747  0.000
Rh  0.334  0.500  0.331
Rh  0.000  0.500  0.000
Rh  0.666  0.000  0.668
Rh  0.334  0.000  0.332
Mg  0.832  0.252  0.337
Mg  0.168  0.748  0.663

The value obtained for the final energy is -57.9 eV for the cell shown.

***

(4)
First-principles (PBE) data for crystalline Mg5Pd4Rh at its relaxed geometry, as listed in Alexandria.

abc: 3.208 3.208 15.433
angles: 90.00 90.00 90.00
Atoms (fractional coordinates):
Pd  0.000  0.000  0.600
Mg  0.500  0.500  0.500
Mg  0.500  0.500  0.905
Pd  0.000  0.000  0.199
Mg  0.500  0.500  0.299
Rh  0.000  0.000  0.000
Mg  0.500  0.500  0.095
Pd  0.000  0.000  0.801
Mg  0.500  0.500  0.701
Pd  0.000  0.000  0.400

The value obtained for the final energy is -43.1 eV for the cell shown.

***

(5)
First-principles (PBE) data for crystalline MgPd2Rh2 at its relaxed geometry, as listed in Alexandria.

abc: 7.556 7.556 2.852
angles: 90.00 90.00 90.00
Atoms (fractional coordinates):
Mg  0.000  0.000  0.000
Pd  0.627  0.127  0.000
Rh  0.172  0.672  0.500
Mg  0.500  0.500  0.000
Pd  0.873  0.627  0.000
Pd  0.373  0.873  0.000
Rh  0.828  0.328  0.500
Rh  0.328  0.172  0.500
Pd  0.127  0.373  0.000
Rh  0.672  0.828  0.500

The value obtained for the final energy is -53.1 eV for the cell shown. For the energy relative to the lowest polymorph listed for this composition, the calculation gives 21 meV per atom.

***

(6)
First-principles (PBE) data for crystalline Mg8Pd2Rh at its relaxed geometry, as listed in Alexandria.

abc: 4.501 6.548 7.844
angles: 110.99 106.67 90.00
Atoms (fractional coordinates):
Mg  0.975  0.229  0.951
Mg  0.609  0.437  0.218
Mg  0.336  0.075  0.672
Mg  0.664  0.925  0.328
Pd  0.190  0.675  0.379
Mg  0.822  0.755  0.643
Pd  0.810  0.325  0.621
Rh  0.500  0.000  0.000
Mg  0.178  0.245  0.357
Mg  0.025  0.771  0.049
Mg  0.391  0.563  0.782

The value obtained for the final energy is -35.0 eV for the cell shown.

***

(7)
First-principles (PBE) data for crystalline Mg4PdRh2 at its relaxed geometry, as listed in Alexandria.

abc: 4.461 4.461 7.529
angles: 72.77 72.77 60.00
Atoms (fractional coordinates):
Mg  0.872  0.872  0.384
Mg  0.381  0.381  0.858
Pd  0.000  0.000  0.000
Mg  0.619  0.619  0.142
Rh  0.746  0.746  0.761
Rh  0.254  0.254  0.239
Mg  0.128  0.128  0.616

The value obtained for the final energy is -29.4 eV for the cell shown.

***

(8)
First-principles (PBE) data for crystalline Mg6PdRh2 at its relaxed geometry, as listed in Alexandria.

abc: 4.369 8.441 8.449
angles: 90.00 90.00 90.00
Atoms (fractional coordinates):
Rh  0.000  0.705  0.205
Rh  0.000  0.295  0.795
Mg  0.000  0.314  0.469
Mg  0.500  0.469  0.687
Mg  0.500  0.186  0.969
Mg  0.500  0.531  0.313
Mg  0.000  0.686  0.531
Mg  0.000  0.969  0.813
Pd  0.000  0.000  0.500
Pd  0.500  0.500  0.000
Rh  0.500  0.795  0.705
Mg  0.000  0.628  0.873
Mg  0.500  0.872  0.373
Mg  0.500  0.128  0.627
Mg  0.000  0.031  0.187
Rh  0.500  0.205  0.295
Mg  0.000  0.372  0.127
Mg  0.500  0.814  0.031

The value obtained for the final energy is -66.9 eV for the cell shown.